# BaIr3Br

BaIr3Br after structural relaxation (PBE, Alexandria).

Values from the calculation:
Total DFT energy (no corrections)   -4.866 eV/atom
ΔE_f (raw)   112.88 kJ/mol of atoms

Lattice parameters (Å, degrees): 4.823 4.823 4.823 90.00 90.00 90.00
Element x y z (fractional)
Ba 0.000 0.000 0.000
Ir 0.000 0.500 0.500
Ir 0.500 0.000 0.500
Ir 0.500 0.500 0.000
Br 0.500 0.500 0.500

# TbPr5YHo2

TbPr5YHo2 after structural relaxation (PBE, Alexandria).

Values from the calculation:
Total DFT energy (no corrections)   -4.760 eV/atom
ΔE_f   0.145 eV/atom

Lattice parameters (Å, degrees): 10.734 10.734 10.741 90.00 90.00 149.36
Element x y z (fractional)
Tb 0.199 0.801 0.500
Tb 0.801 0.199 0.000
Pr 0.014 0.986 0.505
Pr 0.279 0.721 0.802
Pr 0.295 0.705 0.196
Pr 0.384 0.616 0.511
Pr 0.484 0.516 0.235
Pr 0.516 0.484 0.735
Pr 0.616 0.384 0.011
Pr 0.705 0.295 0.696
Pr 0.721 0.279 0.302
Pr 0.986 0.014 0.005
Y 0.406 0.594 0.955
Y 0.594 0.406 0.455
Ho 0.113 0.887 0.229
Ho 0.115 0.885 0.795
Ho 0.885 0.115 0.295
Ho 0.887 0.113 0.729

# Sc3Zn5O12

Sc3Zn5O12 after structural relaxation (PBE, Alexandria).

Values from the calculation:
Total DFT energy (no corrections)   -5.975 eV/atom
ΔE_f (raw)   -167.07 kJ/mol of atoms

Lattice parameters (Å, degrees): 10.540 10.540 10.540 109.47 109.47 109.47
Element x y z (fractional)
Sc 0.125 0.250 0.375
Sc 0.125 0.375 0.750
Sc 0.250 0.375 0.125
Sc 0.250 0.875 0.625
Sc 0.375 0.125 0.250
Sc 0.375 0.750 0.125
Sc 0.625 0.250 0.875
Sc 0.625 0.875 0.750
Sc 0.750 0.125 0.375
Sc 0.750 0.625 0.875
Sc 0.875 0.625 0.250
Sc 0.875 0.750 0.625
Zn 0.000 0.000 0.000
Zn 0.000 0.000 0.500
Zn 0.000 0.500 0.000
Zn 0.000 0.500 0.500
Zn 0.125 0.750 0.875
Zn 0.125 0.875 0.250
Zn 0.250 0.125 0.875
Zn 0.250 0.625 0.375
Zn 0.375 0.250 0.625
Zn 0.375 0.625 0.750
Zn 0.500 0.000 0.000
Zn 0.500 0.000 0.500
Zn 0.500 0.500 0.000
Zn 0.500 0.500 0.500
Zn 0.625 0.375 0.250
Zn 0.625 0.750 0.375
Zn 0.750 0.375 0.625
Zn 0.750 0.875 0.125
Zn 0.875 0.125 0.750
Zn 0.875 0.250 0.125
O 0.046 0.218 0.135
O 0.046 0.327 0.911
O 0.083 0.718 0.673
O 0.083 0.865 0.411
O 0.089 0.635 0.417
O 0.089 0.954 0.673
O 0.135 0.046 0.218
O 0.135 0.589 0.917
O 0.173 0.218 0.583
O 0.173 0.454 0.589
O 0.218 0.135 0.046
O 0.218 0.583 0.173
O 0.282 0.327 0.917
O 0.282 0.454 0.365
O 0.327 0.911 0.046
O 0.327 0.917 0.282
O 0.365 0.282 0.454
O 0.365 0.583 0.911
O 0.411 0.083 0.865
O 0.411 0.827 0.546
O 0.417 0.089 0.635
O 0.417 0.827 0.782
O 0.454 0.365 0.282
O 0.454 0.589 0.173
O 0.546 0.411 0.827
O 0.546 0.635 0.718
O 0.583 0.173 0.218
O 0.583 0.911 0.365
O 0.589 0.173 0.454
O 0.589 0.917 0.135
O 0.635 0.417 0.089
O 0.635 0.718 0.546
O 0.673 0.083 0.718
O 0.673 0.089 0.954
O 0.718 0.546 0.635
O 0.718 0.673 0.083
O 0.782 0.417 0.827
O 0.782 0.865 0.954
O 0.827 0.546 0.411
O 0.827 0.782 0.417
O 0.865 0.411 0.083
O 0.865 0.954 0.782
O 0.911 0.046 0.327
O 0.911 0.365 0.583
O 0.917 0.135 0.589
O 0.917 0.282 0.327
O 0.954 0.673 0.089
O 0.954 0.782 0.865

# TbSiNi6B

TbSiNi6B after structural relaxation (PBE, Alexandria).

Values from the calculation:
Total DFT energy (no corrections)   -5.933 eV/atom
ΔE_f (raw)   -21.24 kJ/mol of atoms

Lattice parameters (Å, degrees): 6.984 6.984 6.984 130.04 113.92 87.20
Element x y z (fractional)
Tb 0.455 0.205 0.250
Tb 0.545 0.795 0.750
Si 0.000 0.000 0.500
Si 0.000 0.500 0.000
Ni 0.105 0.403 0.274
Ni 0.105 0.831 0.703
Ni 0.174 0.924 0.250
Ni 0.268 0.518 0.750
Ni 0.371 0.169 0.774
Ni 0.371 0.597 0.203
Ni 0.629 0.403 0.797
Ni 0.629 0.831 0.226
Ni 0.732 0.482 0.250
Ni 0.826 0.076 0.750
Ni 0.895 0.169 0.297
Ni 0.895 0.597 0.726
B 0.000 0.000 0.000
B 0.500 0.000 0.500

# ThCoAs2Rh5

ThCoAs2Rh5 after structural relaxation (PBE, Alexandria).

Values from the calculation:
Total DFT energy (no corrections)   -6.935 eV/atom
ΔE_f   -0.204 eV/atom

Lattice parameters (Å, degrees): 4.078 4.078 11.468 90.00 90.00 90.00
Element x y z (fractional)
Th 0.000 0.000 0.000
Co 0.500 0.500 0.500
As 0.500 0.500 0.302
As 0.500 0.500 0.698
Rh 0.000 0.500 0.187
Rh 0.000 0.500 0.813
Rh 0.500 0.000 0.187
Rh 0.500 0.000 0.813
Rh 0.500 0.500 0.000

# Li2ScTcH8

Li2ScTcH8 after structural relaxation (PBE, Alexandria).

Values from the calculation:
Total DFT energy (no corrections)   -4.270 eV/atom

Lattice parameters (Å, degrees): 5.367 5.367 5.367 129.75 129.75 73.80
Element x y z (fractional)
Li 0.000 0.000 0.000
Li 0.750 0.250 0.500
Sc 0.500 0.500 0.000
Tc 0.250 0.750 0.500
H 0.129 0.090 0.488
H 0.129 0.641 0.039
H 0.359 0.399 0.488
H 0.359 0.871 0.961
H 0.601 0.090 0.961
H 0.601 0.641 0.512
H 0.910 0.399 0.039
H 0.910 0.871 0.512

# CrRu3

CrRu3 after structural relaxation (PBE, Alexandria).

Values from the calculation:
Total DFT energy (no corrections)   -9.225 eV/atom
ΔE_f   0.138 eV/atom

Lattice parameters (Å, degrees): 8.785 8.785 8.785 17.58 17.58 17.58
Element x y z (fractional)
Cr 0.000 0.000 0.000
Ru 0.253 0.253 0.253
Ru 0.500 0.500 0.500
Ru 0.747 0.747 0.747

# RbNa4Bi5

RbNa4Bi5 after structural relaxation (PBE, Alexandria).

Values from the calculation:
Total DFT energy (no corrections)   -2.848 eV/atom
ΔE_f   -0.283 eV/atom

Lattice parameters (Å, degrees): 3.466 3.466 25.607 90.00 90.00 90.00
Element x y z (fractional)
Rb 0.000 0.000 0.000
Na 0.000 0.000 0.211
Na 0.000 0.000 0.404
Na 0.000 0.000 0.596
Na 0.000 0.000 0.789
Bi 0.500 0.500 0.116
Bi 0.500 0.500 0.308
Bi 0.500 0.500 0.500
Bi 0.500 0.500 0.692
Bi 0.500 0.500 0.884

# SmPuTeS

SmPuTeS after structural relaxation (PBE, Alexandria).

Values from the calculation:
Total DFT energy (no corrections)   -8.147 eV/atom
ΔE_f (raw)   -151.23 kJ/mol of atoms

Lattice parameters (Å, degrees): 7.485 7.485 7.485 32.11 32.11 32.11
Element x y z (fractional)
Sm 0.000 0.000 0.000
Pu 0.475 0.475 0.475
Te 0.237 0.237 0.237
S 0.739 0.739 0.739

# AcCePr2N4

AcCePr2N4 after structural relaxation (PBE, Alexandria).

Values from the calculation:
Total DFT energy (no corrections)   -7.873 eV/atom
ΔE_f (raw)   -121.59 kJ/mol of atoms

Lattice parameters (Å, degrees): 6.409 3.712 6.449 90.00 109.26 90.00
Element x y z (fractional)
Ac 0.000 0.000 0.000
Ce 0.000 0.500 0.500
Pr 0.500 0.000 0.500
Pr 0.500 0.500 0.000
N 0.242 0.000 0.734
N 0.246 0.500 0.270
N 0.754 0.500 0.730
N 0.758 0.000 0.266

# ScS2I

ScS2I after structural relaxation (PBE, Alexandria).

Values from the calculation:
Total DFT energy (no corrections)   -3.705 eV/atom
ΔE_f (raw)   31.71 kJ/mol of atoms

Lattice parameters (Å, degrees): 9.303 9.303 9.303 23.13 23.13 23.13
Element x y z (fractional)
Sc 0.000 0.000 0.000
S 0.086 0.086 0.086
S 0.914 0.914 0.914
I 0.500 0.500 0.500

# CsRb2InAu2

CsRb2InAu2 after structural relaxation (PBE, Alexandria).

Values from the calculation:
Total DFT energy (no corrections)   -2.230 eV/atom
ΔE_f   -0.216 eV/atom

Lattice parameters (Å, degrees): 4.799 9.990 10.135 90.00 90.00 90.00
Element x y z (fractional)
Cs 0.000 0.053 0.000
Cs 0.000 0.947 0.500
Rb 0.000 0.310 0.602
Rb 0.000 0.690 0.102
Rb 0.500 0.409 0.933
Rb 0.500 0.591 0.433
In 0.500 0.223 0.293
In 0.500 0.777 0.793
Au 0.000 0.356 0.233
Au 0.000 0.644 0.733
Au 0.500 0.071 0.741
Au 0.500 0.929 0.241